Entry 1:
A plane-wave DFT calculation with GGA-PBE was carried out for crystalline NbBiBr2 at its relaxed geometry. Values from VASP.

The structure in Quantum ESPRESSO input format:
```
&SYSTEM
  ibrav = 0, nat = 4, ntyp = 3
/
ATOMIC_SPECIES
Nb 92.91 Nb.upf
Bi 208.98 Bi.upf
Br 79.90 Br.upf
ATOMIC_POSITIONS crystal
Nb 0.0000 0.0000 0.0000
Bi 0.5000 0.5000 0.5000
Br 0.2500 0.2500 0.2500
Br 0.7500 0.7500 0.7500
CELL_PARAMETERS angstrom
0.0000 3.5890 3.5890
3.5890 0.0000 3.5890
3.5890 3.5890 0.0000
```

Values from the calculation:
Its uncorrected formation energy is 514.6 meV/atom. For the energy relative to the lowest polymorph listed for this composition, the calculation gives 0.8180 eV/atom.

***

Entry 2:
A plane-wave DFT calculation with GGA-PBE was carried out for crystalline SbPb2Se2O2 at its relaxed geometry. Values from VASP.

The structure in Quantum ESPRESSO input format:
```
&SYSTEM
  ibrav = 0, nat = 7, ntyp = 4
/
ATOMIC_SPECIES
Sb 121.76 Sb.upf
Pb 207.20 Pb.upf
Se 78.96 Se.upf
O 16.00 O.upf
ATOMIC_POSITIONS crystal
Sb 0.0000 0.0000 0.0000
Pb 0.1888 0.1888 0.7557
Pb 0.8112 0.8112 0.2443
Se 0.4442 0.4442 0.7046
Se 0.5558 0.5558 0.2954
O 0.1882 0.1882 0.0673
O 0.8118 0.8118 0.9327
CELL_PARAMETERS angstrom
6.3266 -1.9108 0.0000
6.3266 1.9108 0.0000
-3.8647 0.0000 6.6862
```

Values from the calculation:
Its uncorrected formation energy is -792.1 meV/atom.

***

Entry 3:
A plane-wave DFT calculation with GGA-PBE was carried out for crystalline Ca2AgSe at its relaxed geometry. Values from VASP.

The structure in Quantum ESPRESSO input format:
```
&SYSTEM
  ibrav = 0, nat = 4, ntyp = 3
/
ATOMIC_SPECIES
Ca 40.08 Ca.upf
Ag 107.87 Ag.upf
Se 78.96 Se.upf
ATOMIC_POSITIONS crystal
Ca 0.2500 0.2500 0.2500
Ca 0.7500 0.7500 0.7500
Ag 0.0000 0.0000 0.0000
Se 0.5000 0.5000 0.5000
CELL_PARAMETERS angstrom
0.0000 3.7129 3.7129
3.7129 0.0000 3.7129
3.7129 3.7129 0.0000
```

Values from the calculation:
Its uncorrected formation energy is -810.5 meV/atom. For the energy relative to the lowest polymorph listed for this composition, the calculation gives 0.1914 eV/atom.

***

Entry 4:
A plane-wave DFT calculation with GGA-PBE was carried out for crystalline Li2FeB at its relaxed geometry. Values from VASP.

The structure in Quantum ESPRESSO input format:
```
&SYSTEM
  ibrav = 0, nat = 4, ntyp = 3
/
ATOMIC_SPECIES
Li 6.94 Li.upf
Fe 55.84 Fe.upf
B 10.81 B.upf
ATOMIC_POSITIONS crystal
Li 0.2500 0.2500 0.2500
Li 0.7500 0.7500 0.7500
Fe 0.0000 0.0000 0.0000
B 0.5000 0.5000 0.5000
CELL_PARAMETERS angstrom
0.0000 2.6891 2.6891
2.6891 0.0000 2.6891
2.6891 2.6891 0.0000
```

Values from the calculation:
As for the energy of formation from the pure elements: 0.636 eV per atom. For the energy relative to the lowest polymorph listed for this composition, the calculation gives 0.0928 eV/atom.

***

Entry 5:
A plane-wave DFT calculation with GGA-PBE was carried out for crystalline Th2Mn2N5 at its relaxed geometry. Values from VASP.

The structure in Quantum ESPRESSO input format:
```
&SYSTEM
  ibrav = 0, nat = 18, ntyp = 3
/
ATOMIC_SPECIES
Th 232.04 Th.upf
Mn 54.94 Mn.upf
N 14.01 N.upf
ATOMIC_POSITIONS crystal
Th 0.0949 0.3770 0.4722
Th 0.3770 0.0949 0.4722
Th 0.6230 0.9051 0.5278
Th 0.9051 0.6230 0.5278
Mn 0.0000 0.5000 0.0000
Mn 0.3196 0.3196 0.0001
Mn 0.5000 0.0000 0.0000
Mn 0.6804 0.6804 0.9999
N 0.1105 0.3220 0.9983
N 0.2502 0.7498 0.5000
N 0.2626 0.7374 0.0000
N 0.3220 0.1105 0.9983
N 0.3363 0.3363 0.6717
N 0.6637 0.6637 0.3283
N 0.6780 0.8895 0.0017
N 0.7374 0.2626 0.0000
N 0.7498 0.2502 0.5000
N 0.8895 0.6780 0.0017
CELL_PARAMETERS angstrom
3.8380 -7.8237 0.0000
3.8380 7.8237 0.0000
-3.8333 0.0000 3.9433
```

Values from the calculation:
Its uncorrected formation energy is -952.6 meV/atom.

***

Entry 6:
A plane-wave DFT calculation with GGA-PBE was carried out for crystalline ZrNi2Mo2 at its relaxed geometry. Values from VASP.

The structure in Quantum ESPRESSO input format:
```
&SYSTEM
  ibrav = 0, nat = 10, ntyp = 3
/
ATOMIC_SPECIES
Zr 91.22 Zr.upf
Ni 58.69 Ni.upf
Mo 95.94 Mo.upf
ATOMIC_POSITIONS crystal
Zr 0.0000 0.0000 0.0000
Zr 0.5000 0.5000 0.0000
Ni 0.1188 0.3812 0.0000
Ni 0.3812 0.8812 0.0000
Ni 0.6188 0.1188 0.0000
Ni 0.8812 0.6188 0.0000
Mo 0.1744 0.6744 0.5000
Mo 0.3256 0.1744 0.5000
Mo 0.6744 0.8256 0.5000
Mo 0.8256 0.3256 0.5000
CELL_PARAMETERS angstrom
7.5206 0.0000 0.0000
0.0000 7.5206 0.0000
0.0000 0.0000 2.6606
```

Values from the calculation:
As for the energy of formation from the pure elements: 0.036 eV per atom. For the energy relative to the lowest polymorph listed for this composition, the calculation gives 0.0000 eV/atom.

***

Entry 7:
A plane-wave DFT calculation with GGA-PBE was carried out for crystalline CaSb2Br at its relaxed geometry. Values from VASP.

The structure in Quantum ESPRESSO input format:
```
&SYSTEM
  ibrav = 0, nat = 4, ntyp = 3
/
ATOMIC_SPECIES
Ca 40.08 Ca.upf
Sb 121.76 Sb.upf
Br 79.90 Br.upf
ATOMIC_POSITIONS crystal
Ca 0.0000 0.0000 0.0000
Sb 0.4816 0.5000 0.7693
Sb 0.5184 0.5000 0.2307
Br 0.0000 0.0000 0.5000
CELL_PARAMETERS angstrom
3.5595 0.0000 0.0000
0.0000 5.3198 0.0000
-0.2252 0.0000 6.1673
```

Values from the calculation:
Its uncorrected formation energy is -472.9 meV/atom. For the energy relative to the lowest polymorph listed for this composition, the calculation gives 0.3634 eV/atom.

***

Entry 8:
A plane-wave DFT calculation with GGA-PBE was carried out for crystalline LiTb5Te6 at its relaxed geometry. Values from VASP.

The structure in Quantum ESPRESSO input format:
```
&SYSTEM
  ibrav = 0, nat = 12, ntyp = 3
/
ATOMIC_SPECIES
Li 6.94 Li.upf
Tb 158.93 Tb.upf
Te 127.60 Te.upf
ATOMIC_POSITIONS crystal
Li 0.0000 0.0000 0.0000
Tb 0.1705 0.8295 0.5000
Tb 0.3358 0.6642 0.0000
Tb 0.5000 0.5000 0.5000
Tb 0.6642 0.3358 0.0000
Tb 0.8295 0.1705 0.5000
Te 0.0798 0.4021 0.2426
Te 0.2390 0.2390 0.7549
Te 0.4021 0.0798 0.2426
Te 0.5979 0.9202 0.7574
Te 0.7610 0.7610 0.2451
Te 0.9202 0.5979 0.7574
CELL_PARAMETERS angstrom
3.7626 -6.5169 0.0000
3.7626 6.5169 0.0000
-2.5211 0.0000 7.1166
```

Values from the calculation:
Its uncorrected formation energy is -1327.1 meV/atom.

***

Entry 9:
A plane-wave DFT calculation with GGA-PBE was carried out for crystalline SeIF at its relaxed geometry. Values from VASP.

The structure in Quantum ESPRESSO input format:
```
&SYSTEM
  ibrav = 0, nat = 6, ntyp = 3
/
ATOMIC_SPECIES
Se 78.96 Se.upf
I 126.90 I.upf
F 19.00 F.upf
ATOMIC_POSITIONS crystal
Se 0.0727 0.3897 0.1479
Se 0.9273 0.6103 0.8521
I 0.2161 0.2133 0.7596
I 0.7839 0.7867 0.2404
F 0.4060 0.2658 0.2841
F 0.5940 0.7342 0.7159
CELL_PARAMETERS angstrom
5.0635 0.0000 0.0000
2.4956 5.5375 0.0000
1.4331 2.2993 7.8250
```

Values from the calculation:
Its uncorrected formation energy is -549.0 meV/atom. For the energy relative to the lowest polymorph listed for this composition, the calculation gives 0.0000 eV/atom.

***

Entry 10:
A plane-wave DFT calculation with GGA-PBE was carried out for crystalline ErBe2Au7 at its relaxed geometry. Values from VASP.

The structure in Quantum ESPRESSO input format:
```
&SYSTEM
  ibrav = 0, nat = 10, ntyp = 3
/
ATOMIC_SPECIES
Er 167.26 Er.upf
Be 9.01 Be.upf
Au 196.97 Au.upf
ATOMIC_POSITIONS crystal
Er 0.0000 0.0000 0.0000
Be 0.3005 0.6995 0.5000
Be 0.6995 0.3005 0.5000
Au 0.0629 0.3211 0.5000
Au 0.2488 0.7512 0.0000
Au 0.3211 0.0629 0.5000
Au 0.5000 0.5000 0.5000
Au 0.6789 0.9371 0.5000
Au 0.7512 0.2488 0.0000
Au 0.9371 0.6789 0.5000
CELL_PARAMETERS angstrom
3.7223 -5.8993 0.0000
3.7223 5.8993 0.0000
0.0000 0.0000 4.4714
```

Values from the calculation:
As for the energy of formation from the pure elements: -0.226 eV per atom.

***

| no. | magnetic moment (μB per atom) | calculated total energy (eV per atom) |
| --- | --- | --- |
| 1 | 0.2757 | -3.81 |
| 2 | 0.0000 | -4.85 |
| 3 | 0.0000 | -3.40 |
| 4 | 0.6247 | -4.11 |
| 5 | 0.6020 | -9.26 |
| 6 | 0.0000 | -8.32 |
| 7 | 0.0000 | -3.45 |
| 8 | 0.0000 | -4.99 |
| 9 | 0.0000 | -2.85 |
| 10 | 0.0000 | -3.72 |